# Li2ZnGa (SCAN, single point on PBEsol structure)
data_Li2ZnGa
_cell_length_a 6.099
_cell_length_b 6.099
_cell_length_c 6.099
_cell_angle_alpha 90.00
_cell_angle_beta 90.00
_cell_angle_gamma 90.00
_symmetry_space_group_name_H-M 'P 1'
_symmetry_Int_Tables_number 1
loop_
_symmetry_equiv_pos_as_xyz
'x,y,z'
loop_
_atom_site_label
_atom_site_type_symbol
_atom_site_fract_x
_atom_site_fract_y
_atom_site_fract_z
Li1 Li 0.250 0.250 0.250
Li2 Li 0.250 0.250 0.750
Li3 Li 0.250 0.750 0.250
Li4 Li 0.250 0.750 0.750
Li5 Li 0.750 0.250 0.250
Li6 Li 0.750 0.250 0.750
Li7 Li 0.750 0.750 0.250
Li8 Li 0.750 0.750 0.750
Zn1 Zn 0.000 0.000 0.000
Zn2 Zn 0.000 0.500 0.500
Zn3 Zn 0.500 0.000 0.500
Zn4 Zn 0.500 0.500 0.000
Ga1 Ga 0.000 0.000 0.500
Ga2 Ga 0.000 0.500 0.000
Ga3 Ga 0.500 0.000 0.000
Ga4 Ga 0.500 0.500 0.500
# E	-142.59	eV/cell
# D(E_F)	2.70	states/eV/cell
# energy of formation from the pure elements	-0.252	eV/atom